(1)
A relaxed structure of LiAlS2, computed with GGA-PBE.

Calculated values
- Formation energy (no corrections): -504.0 meV per atom
- Calculated density: 2.69 g/cm3
- VASP energy: -3.982 eV/atom
- Total magnetization: 0.00 μB per formula unit

Cell: 6.2111 6.2111 5.3968 Å, 54.87 54.87 90.00°
With the nearest neighbours (Å) after each atom.
Element x y z (fractional)
S (0.7956, 0.2956, 0.0000)  2 Li 2.38
S (0.2044, 0.7044, 0.0000)  2 Li 2.38
S (0.2956, 0.2044, 0.0000)  2 Li 2.38
S (0.7044, 0.7956, 0.0000)  2 Li 2.38
Al (0.7500, 0.7500, 0.5000)  8 S 2.73
Al (0.2500, 0.2500, 0.5000)  8 S 2.73
Li (0.7500, 0.2500, 0.5000)  4 S 2.38
Li (0.2500, 0.7500, 0.5000)  4 S 2.38

=====

(2)
A relaxed structure of LiAlS2, computed with GGA-PBE.

Calculated values
- Formation energy (no corrections): -1271.6 meV per atom
- Calculated density: 2.02 g/cm3
- VASP energy: -4.749 eV/atom
- Total magnetization: 0.00 μB per formula unit

Cell: 6.2508 3.7145 6.9378 Å, 89.94 90.02 90.00°
With the nearest neighbours (Å) after each atom.
Element x y z (fractional)
S (0.1191, 0.6836, 0.4596)  2 Al 2.29, 2 Li 2.46-2.48
S (0.5909, 0.1839, 0.2846)  2 Al 2.26-2.28, 2 Li 2.42
S (0.0908, 0.1848, 0.9901)  2 Al 2.26-2.28, 2 Li 2.42
S (0.6189, 0.6854, 0.8151)  2 Al 2.29, 2 Li 2.46-2.48
Al (0.7267, 0.1851, 0.9829)  4 S 2.26-2.29
Al (0.2268, 0.1839, 0.2918)  4 S 2.26-2.29
Li (0.7263, 0.6835, 0.4714)  4 S 2.42-2.48
Li (0.2262, 0.6851, 0.8037)  4 S 2.42-2.48